1.
The following is a DFT calculation (PBE) of a relaxed structure of Sc7Cd2Pd2.

Calculated values
VASP energy in eV per formula unit: -58.89
Energy relative to the elements in eV/atom: -0.214

```
data_Sc7Cd2Pd2
_chemical_formula_sum 'Sc14 Cd4 Pd4'
_cell_length_a 7.602
_cell_length_b 10.372
_cell_length_c 6.709
_cell_angle_alpha 90.00
_cell_angle_beta 90.00
_cell_angle_gamma 90.00
_symmetry_space_group_name_H-M 'C m m m'
_symmetry_Int_Tables_number 65
_symmetry_space_group_name_Hall '-C 2 2'
loop_
_atom_site_label
_atom_site_fract_x
_atom_site_fract_y
_atom_site_fract_z
Sc1 0.000 0.000 0.000
Sc2 0.000 0.500 0.250
Sc3 0.250 0.250 0.259
Cd1 0.180 0.000 0.500
Pd1 0.000 0.288 0.000
```

2.
The following is a DFT calculation (PBE) of a relaxed structure of ScCd2Pd.

Calculated values
VASP energy in eV per formula unit: -13.26
Energy relative to the elements in eV/atom: 0.024

```
data_ScCd2Pd
_chemical_formula_sum 'Sc3 Cd6 Pd3'
_cell_length_a 3.0568
_cell_length_b 3.0568
_cell_length_c 31.4127
_cell_angle_alpha 90.00
_cell_angle_beta 90.00
_cell_angle_gamma 120.00
_symmetry_space_group_name_H-M 'R -3 m'
_symmetry_Int_Tables_number 166
_symmetry_space_group_name_Hall '-R 3 2"'
loop_
_atom_site_label
_atom_site_fract_x
_atom_site_fract_y
_atom_site_fract_z
Sc1 0.0000 0.0000 0.0000
Cd1 0.0000 0.0000 0.0958
Pd1 0.0000 0.0000 0.5000
```

3.
The following is a DFT calculation (PBE) of a relaxed structure of Sc3Cd2Pd.

Calculated values
VASP energy in eV per formula unit: -28.93
Energy relative to the elements in eV/atom: -0.486

```
data_Sc3Cd2Pd
_chemical_formula_sum 'Sc12 Cd8 Pd4'
_cell_length_a 4.841
_cell_length_b 14.605
_cell_length_c 7.048
_cell_angle_alpha 90.00
_cell_angle_beta 90.00
_cell_angle_gamma 90.00
_symmetry_space_group_name_H-M 'C m m m'
_symmetry_Int_Tables_number 65
_symmetry_space_group_name_Hall '-C 2 2'
loop_
_atom_site_label
_atom_site_fract_x
_atom_site_fract_y
_atom_site_fract_z
Sc1 0.000 0.000 0.241
Sc2 0.000 0.327 0.227
Cd1 0.000 0.167 0.500
Cd2 0.000 0.500 0.000
Cd3 0.000 0.500 0.500
Pd1 0.000 0.152 0.000
```

4.
The following is a DFT calculation (PBE) of a relaxed structure of Sc2Cd2Pd.

Calculated values
Energy above the lowest structure with this stoichiometry in meV per atom: 184
VASP energy in eV per formula unit: -20.88
Energy relative to the elements in eV/atom: -0.239

```
data_Sc2Cd2Pd
_chemical_formula_sum 'Sc4 Cd4 Pd2'
_cell_length_a 7.296
_cell_length_b 7.296
_cell_length_c 4.009
_cell_angle_alpha 90.00
_cell_angle_beta 90.00
_cell_angle_gamma 90.00
_symmetry_space_group_name_H-M 'P 4/m b m'
_symmetry_Int_Tables_number 127
_symmetry_space_group_name_Hall '-P 4 2ab'
loop_
_atom_site_label
_atom_site_fract_x
_atom_site_fract_y
_atom_site_fract_z
Sc1 0.168 0.332 0.000
Cd1 0.137 0.637 0.500
Pd1 0.000 0.000 0.500
```

5.
The following is a DFT calculation (PBE) of a relaxed structure of ScCd2Pd.

Calculated values
VASP energy in eV per formula unit: -15.18
Energy relative to the elements in eV/atom: -0.457

```
data_ScCd2Pd
_chemical_formula_sum 'Sc4 Cd8 Pd4'
_cell_length_a 4.339
_cell_length_b 4.339
_cell_length_c 16.769
_cell_angle_alpha 90.00
_cell_angle_beta 90.00
_cell_angle_gamma 90.00
_symmetry_space_group_name_H-M 'I 4/m m m'
_symmetry_Int_Tables_number 139
_symmetry_space_group_name_Hall '-I 4 2'
loop_
_atom_site_label
_atom_site_fract_x
_atom_site_fract_y
_atom_site_fract_z
Sc1 0.000 0.000 0.144
Cd1 0.000 0.000 0.366
Cd2 0.000 0.500 0.000
Pd1 0.000 0.500 0.250
```

6.
The following is a DFT calculation (PBE) of a relaxed structure of Sc2CdPd5.

Calculated values
VASP energy in eV per formula unit: -46.07
Energy relative to the elements in eV/atom: -0.816

```
data_Sc2CdPd5
_chemical_formula_sum 'Sc4 Cd2 Pd10'
_cell_length_a 5.712
_cell_length_b 11.307
_cell_length_c 4.129
_cell_angle_alpha 90.00
_cell_angle_beta 90.00
_cell_angle_gamma 90.00
_symmetry_space_group_name_H-M 'P b a m'
_symmetry_Int_Tables_number 55
_symmetry_space_group_name_Hall '-P 2 2ab'
loop_
_atom_site_label
_atom_site_fract_x
_atom_site_fract_y
_atom_site_fract_z
Sc1 0.206 0.138 0.000
Cd1 0.000 0.500 0.500
Pd1 0.000 0.000 0.500
Pd2 0.037 0.750 0.500
Pd3 0.224 0.380 0.000
```

7.
The following is a DFT calculation (PBE) of a relaxed structure of ScCd2Pd.

Calculated values
VASP energy in eV per formula unit: -14.73
Energy relative to the elements in eV/atom: -0.345

```
data_ScCd2Pd
_chemical_formula_sum 'Sc1 Cd2 Pd1'
_cell_length_a 3.509
_cell_length_b 3.509
_cell_length_c 6.404
_cell_angle_alpha 90.00
_cell_angle_beta 90.00
_cell_angle_gamma 90.00
_symmetry_space_group_name_H-M 'P 4/m m m'
_symmetry_Int_Tables_number 123
_symmetry_space_group_name_Hall '-P 4 2'
loop_
_atom_site_label
_atom_site_fract_x
_atom_site_fract_y
_atom_site_fract_z
Sc1 0.000 0.000 0.000
Cd1 0.500 0.500 0.273
Pd1 0.000 0.000 0.500
```

8.
The following is a DFT calculation (PBE) of a relaxed structure of ScCd2Pd.

Calculated values
VASP energy in eV per formula unit: -13.91
Energy relative to the elements in eV/atom: -0.139

```
data_ScCd2Pd
_chemical_formula_sum 'Sc4 Cd8 Pd4'
_cell_length_a 8.029
_cell_length_b 8.029
_cell_length_c 5.431
_cell_angle_alpha 90.00
_cell_angle_beta 90.00
_cell_angle_gamma 90.00
_symmetry_space_group_name_H-M 'I -4 2 d'
_symmetry_Int_Tables_number 122
_symmetry_space_group_name_Hall 'I -4 2bw'
loop_
_atom_site_label
_atom_site_fract_x
_atom_site_fract_y
_atom_site_fract_z
Sc1 0.000 0.000 0.000
Cd1 0.212 0.750 0.625
Pd1 0.000 0.000 0.500
```

9.
The following is a DFT calculation (PBE) of a relaxed structure of ScCd2Pd3.

Calculated values
Energy above the lowest structure with this stoichiometry in meV per atom: 0
VASP energy in eV per formula unit: -27.42
Energy relative to the elements in eV/atom: -0.612

```
data_ScCd2Pd3
_chemical_formula_sum 'Sc2 Cd4 Pd6'
_cell_length_a 4.6365
_cell_length_b 4.6365
_cell_length_c 11.3591
_cell_angle_alpha 90.00
_cell_angle_beta 90.00
_cell_angle_gamma 120.00
_symmetry_space_group_name_H-M 'P -3 m 1'
_symmetry_Int_Tables_number 164
_symmetry_space_group_name_Hall '-P 3 2"'
loop_
_atom_site_label
_atom_site_fract_x
_atom_site_fract_y
_atom_site_fract_z
Sc1 0.3333 0.6667 0.1660
Cd1 0.0000 0.0000 0.0000
Cd2 0.0000 0.0000 0.5000
Cd3 0.3333 0.6667 0.6648
Pd1 0.0000 0.0000 0.2485
Pd2 0.3333 0.6667 0.4107
Pd3 0.3333 0.6667 0.9142
```

10.
The following is a DFT calculation (PBE) of a relaxed structure of Sc4CdPd3.

Calculated values
VASP energy in eV per formula unit: -47.54
Energy relative to the elements in eV/atom: -0.716

```
data_Sc4CdPd3
_chemical_formula_sum 'Sc4 Cd1 Pd3'
_cell_length_a 4.741
_cell_length_b 4.741
_cell_length_c 6.788
_cell_angle_alpha 90.00
_cell_angle_beta 90.00
_cell_angle_gamma 90.00
_symmetry_space_group_name_H-M 'P 4/m m m'
_symmetry_Int_Tables_number 123
_symmetry_space_group_name_Hall '-P 4 2'
loop_
_atom_site_label
_atom_site_fract_x
_atom_site_fract_y
_atom_site_fract_z
Sc1 0.000 0.500 0.239
Cd1 0.000 0.000 0.500
Pd1 0.000 0.000 0.000
Pd2 0.500 0.500 0.000
Pd3 0.500 0.500 0.500
```

11.
The following is a DFT calculation (PBE) of a relaxed structure of ScCd2Pd9.

Calculated values
VASP energy in eV per formula unit: -60.16
Energy relative to the elements in eV/atom: -0.439

```
data_ScCd2Pd9
_chemical_formula_sum 'Sc1 Cd2 Pd9'
_cell_length_a 4.007
_cell_length_b 4.007
_cell_length_c 12.185
_cell_angle_alpha 90.00
_cell_angle_beta 90.00
_cell_angle_gamma 90.00
_symmetry_space_group_name_H-M 'P 4/m m m'
_symmetry_Int_Tables_number 123
_symmetry_space_group_name_Hall '-P 4 2'
loop_
_atom_site_label
_atom_site_fract_x
_atom_site_fract_y
_atom_site_fract_z
Sc1 0.000 0.000 0.000
Cd1 0.000 0.000 0.334
Pd1 0.000 0.500 0.163
Pd2 0.000 0.500 0.500
Pd3 0.500 0.500 0.000
Pd4 0.500 0.500 0.330
```

12.
The following is a DFT calculation (PBE) of a relaxed structure of ScCd3Pd4.

Calculated values
VASP energy in eV per formula unit: -34.46
Energy relative to the elements in eV/atom: -0.576

```
data_ScCd3Pd4
_chemical_formula_sum 'Sc2 Cd6 Pd8'
_cell_length_a 15.763
_cell_length_b 4.291
_cell_length_c 4.291
_cell_angle_alpha 90.00
_cell_angle_beta 105.68
_cell_angle_gamma 90.00
_symmetry_space_group_name_H-M 'C 1 2/m 1'
_symmetry_Int_Tables_number 12
_symmetry_space_group_name_Hall '-C 2y'
loop_
_atom_site_label
_atom_site_fract_x
_atom_site_fract_y
_atom_site_fract_z
Sc1 0.000 0.000 0.000
Cd1 0.000 0.500 0.500
Cd2 0.248 0.500 0.748
Pd1 0.122 0.000 0.622
Pd2 0.122 0.500 0.122
```

13.
The following is a DFT calculation (PBE) of a relaxed structure of Sc3CdPd6.

Calculated values
Energy above the lowest structure with this stoichiometry in meV per atom: 0
VASP energy in eV per formula unit: -58.96
Energy relative to the elements in eV/atom: -0.789

```
data_Sc3CdPd6
_chemical_formula_sum 'Sc6 Cd2 Pd12'
_cell_length_a 7.729
_cell_length_b 4.758
_cell_length_c 10.096
_cell_angle_alpha 90.00
_cell_angle_beta 112.18
_cell_angle_gamma 90.00
_symmetry_space_group_name_H-M 'P 1 21/m 1'
_symmetry_Int_Tables_number 11
_symmetry_space_group_name_Hall '-P 2yb'
loop_
_atom_site_label
_atom_site_fract_x
_atom_site_fract_y
_atom_site_fract_z
Sc1 0.062 0.250 0.211
Sc2 0.306 0.250 0.013
Sc3 0.347 0.750 0.381
Cd1 0.127 0.750 0.577
Pd1 0.082 0.250 0.723
Pd2 0.116 0.750 0.080
Pd3 0.277 0.250 0.515
Pd4 0.310 0.750 0.871
Pd5 0.473 0.250 0.317
Pd6 0.487 0.250 0.825
```

14.
The following is a DFT calculation (PBE) of a relaxed structure of ScCdPd.

Calculated values
VASP energy in eV per formula unit: -14.22
Energy relative to the elements in eV/atom: -0.592

```
data_ScCdPd
_chemical_formula_sum 'Sc4 Cd4 Pd4'
_cell_length_a 9.624
_cell_length_b 3.616
_cell_length_c 6.938
_cell_angle_alpha 90.00
_cell_angle_beta 108.92
_cell_angle_gamma 90.00
_symmetry_space_group_name_H-M 'C 1 2/m 1'
_symmetry_Int_Tables_number 12
_symmetry_space_group_name_Hall '-C 2y'
loop_
_atom_site_label
_atom_site_fract_x
_atom_site_fract_y
_atom_site_fract_z
Sc1 0.000 0.000 0.000
Sc2 0.000 0.000 0.500
Cd1 0.176 0.500 0.319
Pd1 0.148 0.500 0.824
```

15.
The following is a DFT calculation (PBE) of a relaxed structure of Sc2CdPd3.

Calculated values
VASP energy in eV per formula unit: -33.87
Energy relative to the elements in eV/atom: -0.786

```
data_Sc2CdPd3
_chemical_formula_sum 'Sc4 Cd2 Pd6'
_cell_length_a 4.6585
_cell_length_b 4.6585
_cell_length_c 11.3978
_cell_angle_alpha 90.00
_cell_angle_beta 90.00
_cell_angle_gamma 120.00
_symmetry_space_group_name_H-M 'P -3 m 1'
_symmetry_Int_Tables_number 164
_symmetry_space_group_name_Hall '-P 3 2"'
loop_
_atom_site_label
_atom_site_fract_x
_atom_site_fract_y
_atom_site_fract_z
Sc1 0.0000 0.0000 0.0000
Sc2 0.0000 0.0000 0.5000
Sc3 0.3333 0.6667 0.1757
Cd1 0.3333 0.6667 0.6698
Pd1 0.0000 0.0000 0.2434
Pd2 0.3333 0.6667 0.4217
Pd3 0.3333 0.6667 0.9254
```

16.
The following is a DFT calculation (PBE) of a relaxed structure of ScCd2Pd8.

Calculated values
Energy above the lowest structure with this stoichiometry in meV per atom: 0
VASP energy in eV per formula unit: -54.89
Energy relative to the elements in eV/atom: -0.472

```
data_ScCd2Pd8
_chemical_formula_sum 'Sc2 Cd4 Pd16'
_cell_length_a 14.404
_cell_length_b 4.104
_cell_length_c 6.342
_cell_angle_alpha 90.00
_cell_angle_beta 105.56
_cell_angle_gamma 90.00
_symmetry_space_group_name_H-M 'C 1 2/m 1'
_symmetry_Int_Tables_number 12
_symmetry_space_group_name_Hall '-C 2y'
loop_
_atom_site_label
_atom_site_fract_x
_atom_site_fract_y
_atom_site_fract_z
Sc1 0.000 0.000 0.000
Cd1 0.225 0.500 0.647
Pd1 0.041 0.500 0.725
Pd2 0.090 0.000 0.453
Pd3 0.135 0.500 0.177
Pd4 0.179 0.000 0.910
```

17.
The following is a DFT calculation (PBE) of a relaxed structure of ScCd2Pd5.

Calculated values
VASP energy in eV per formula unit: -38.83
Energy relative to the elements in eV/atom: -0.587

```
data_ScCd2Pd5
_chemical_formula_sum 'Sc2 Cd4 Pd10'
_cell_length_a 4.164
_cell_length_b 4.164
_cell_length_c 15.542
_cell_angle_alpha 90.00
_cell_angle_beta 90.00
_cell_angle_gamma 90.00
_symmetry_space_group_name_H-M 'I 4/m m m'
_symmetry_Int_Tables_number 139
_symmetry_space_group_name_Hall '-I 4 2'
loop_
_atom_site_label
_atom_site_fract_x
_atom_site_fract_y
_atom_site_fract_z
Sc1 0.000 0.000 0.000
Cd1 0.000 0.000 0.252
Pd1 0.000 0.000 0.500
Pd2 0.000 0.500 0.123
```

18.
The following is a DFT calculation (PBE) of a relaxed structure of ScCd2Pd6.

Calculated values
VASP energy in eV per formula unit: -42.54
Energy relative to the elements in eV/atom: -0.358

```
data_ScCd2Pd6
_chemical_formula_sum 'Sc2 Cd4 Pd12'
_cell_length_a 14.270
_cell_length_b 7.691
_cell_length_c 2.927
_cell_angle_alpha 90.00
_cell_angle_beta 100.21
_cell_angle_gamma 90.00
_symmetry_space_group_name_H-M 'C 1 2/m 1'
_symmetry_Int_Tables_number 12
_symmetry_space_group_name_Hall '-C 2y'
loop_
_atom_site_label
_atom_site_fract_x
_atom_site_fract_y
_atom_site_fract_z
Sc1 0.000 0.000 0.000
Cd1 0.166 0.500 0.642
Pd1 0.000 0.297 0.500
Pd2 0.164 0.187 0.151
```

19.
The following is a DFT calculation (PBE) of a relaxed structure of ScCdPd.

Calculated values
VASP energy in eV per formula unit: -14.32
Energy relative to the elements in eV/atom: -0.628

```
data_ScCdPd
_chemical_formula_sum 'Sc2 Cd2 Pd2'
_cell_length_a 4.8157
_cell_length_b 4.8157
_cell_length_c 5.6827
_cell_angle_alpha 90.00
_cell_angle_beta 90.00
_cell_angle_gamma 120.00
_symmetry_space_group_name_H-M 'P 63/m m c'
_symmetry_Int_Tables_number 194
_symmetry_space_group_name_Hall '-P 6c 2c'
loop_
_atom_site_label
_atom_site_fract_x
_atom_site_fract_y
_atom_site_fract_z
Sc1 0.3333 0.6667 0.2500
Cd1 0.0000 0.0000 0.0000
Pd1 0.3333 0.6667 0.7500
```

20.
The following is a DFT calculation (PBE) of a relaxed structure of ScCd3Pd.

Calculated values
Energy above the lowest structure with this stoichiometry in meV per atom: 1224
VASP energy in eV per formula unit: -9.64
Energy relative to the elements in eV/atom: 0.925

```
data_ScCd3Pd
_chemical_formula_sum 'Sc1 Cd3 Pd1'
_cell_length_a 5.459
_cell_length_b 5.459
_cell_length_c 5.459
_cell_angle_alpha 90.00
_cell_angle_beta 90.00
_cell_angle_gamma 90.00
_symmetry_space_group_name_H-M 'P m -3 m'
_symmetry_Int_Tables_number 221
_symmetry_space_group_name_Hall '-P 4 2 3'
loop_
_atom_site_label
_atom_site_fract_x
_atom_site_fract_y
_atom_site_fract_z
Sc1 0.000 0.000 0.000
Cd1 0.000 0.000 0.500
Pd1 0.500 0.500 0.500
```